(1)
Entry from Alexandria via LeMat-Bulk: CdIn6 after structural relaxation (PBE-GGA).

The distance to the lowest polymorph of the same formula comes out at 0 meV/atom. As for the mass density: 7.049 Mg/m³. The crystal system is trigonal. For the total energy, the calculation gives -0.17988 Ry per atom. Its formation energy from the elements is 0.031 eV per atom. Its space group is R-3m, No. 166.

a b c (Å): 8.044 8.044 8.044
angles (deg): 39.40 39.40 39.40
Fractional positions:
Cd: 0.000 0.000 0.000
In: 0.142 0.142 0.142
In: 0.286 0.286 0.286
In: 0.429 0.429 0.429
In: 0.571 0.571 0.571
In: 0.714 0.714 0.714
In: 0.858 0.858 0.858

(2)
Entry from Alexandria via LeMat-Bulk: SrLa3Y2Te6 after structural relaxation (PBE-GGA).

The uncorrected formation energy is -1.51 eV per atom. As for the mass density: 6.107 Mg/m³. The crystal system is monoclinic. For the total energy, the calculation gives -0.40610 Ry per atom. Its space group is C2/m, No. 12.

a b c (Å): 10.124 10.124 9.115
angles (deg): 103.32 103.32 25.70
Fractional positions:
Sr: 0.000 0.000 0.000
La: 0.000 0.000 0.500
La: 0.337 0.337 0.174
La: 0.663 0.663 0.826
Y: 0.331 0.331 0.661
Y: 0.669 0.669 0.339
Te: 0.169 0.169 0.094
Te: 0.169 0.169 0.574
Te: 0.493 0.493 0.746
Te: 0.507 0.507 0.254
Te: 0.831 0.831 0.426
Te: 0.831 0.831 0.906

(3)
Entry from Alexandria via LeMat-Bulk: LaCu2W after structural relaxation (PBE-GGA).

The distance to the lowest polymorph of the same formula comes out at 135 meV/atom. As for the mass density: 9.735 Mg/m³. The crystal system is monoclinic. For the total energy, the calculation gives -0.44264 Ry per atom. Its formation energy from the elements is 0.496 eV per atom. Its space group is C2/m, No. 12.

a b c (Å): 4.660 4.660 6.058
angles (deg): 98.83 98.83 36.23
Fractional positions:
La: 0.000 0.000 0.000
Cu: 0.241 0.241 0.664
Cu: 0.759 0.759 0.336
W: 0.500 0.500 0.500

(4)
Entry from Alexandria via LeMat-Bulk: TcIr2Au after structural relaxation (PBE-GGA).

The distance to the lowest polymorph of the same formula comes out at 0 meV/atom. As for the mass density: 18.347 Mg/m³. The crystal system is tetragonal. For the total energy, the calculation gives -0.57470 Ry per atom. Its formation energy from the elements is 0.022 eV per atom. Its space group is P4/mmm, No. 123.

a b c (Å): 2.787 2.787 7.916
angles (deg): 90.00 90.00 90.00
Fractional positions:
Tc: 0.000 0.000 0.000
Ir: 0.500 0.500 0.228
Ir: 0.500 0.500 0.772
Au: 0.000 0.000 0.500

(5)
Entry from Alexandria via LeMat-Bulk: Ce2FeGe4Ir3 after structural relaxation (PBE-GGA).

As for the mass density: 11.057 Mg/m³. The crystal system is tetragonal. For the total energy, the calculation gives -0.53019 Ry per atom. Its formation energy from the elements is -0.675 eV per atom. Its space group is P-4m2, No. 115.

a b c (Å): 4.243 4.243 10.038
angles (deg): 90.00 90.00 90.00
Fractional positions:
Ce: 0.000 0.500 0.248
Ce: 0.500 0.000 0.752
Fe: 0.500 0.500 0.000
Ge: 0.000 0.000 0.500
Ge: 0.000 0.500 0.876
Ge: 0.500 0.000 0.124
Ge: 0.500 0.500 0.500
Ir: 0.000 0.000 0.000
Ir: 0.000 0.500 0.631
Ir: 0.500 0.000 0.369

(6)
Entry from Alexandria via LeMat-Bulk: Th2Ni15Sn2 after structural relaxation (PBE-GGA).

As for the mass density: 9.946 Mg/m³. The crystal system is trigonal. For the total energy, the calculation gives -0.44153 Ry per atom. Its formation energy from the elements is -0.241 eV per atom. Its space group is R-3m, No. 166.

a b c (Å): 6.471 6.471 6.471
angles (deg): 82.21 82.21 82.21
Fractional positions:
Th: 0.144 0.144 0.144
Th: 0.856 0.856 0.856
Ni: 0.000 0.500 0.500
Ni: 0.153 0.153 0.660
Ni: 0.153 0.660 0.153
Ni: 0.194 0.500 0.806
Ni: 0.194 0.806 0.500
Ni: 0.340 0.847 0.847
Ni: 0.500 0.000 0.500
Ni: 0.500 0.194 0.806
Ni: 0.500 0.500 0.000
Ni: 0.500 0.806 0.194
Ni: 0.660 0.153 0.153
Ni: 0.806 0.194 0.500
Ni: 0.806 0.500 0.194
Ni: 0.847 0.340 0.847
Ni: 0.847 0.847 0.340
Sn: 0.392 0.392 0.392
Sn: 0.608 0.608 0.608

- Look up the mass density of the sixth one.
  9.946 Mg/m³

- The highest mass density belongs to which entry?
  TcIr2Au